No. 1
# TbCeCuPb

TbCeCuPb after structural relaxation (PBE, Alexandria).

abc: 5.2913 5.2913 5.2913
angles: 60.00 60.00 60.00
Closest atoms and distances in Å follow each position.
Element x y z (fractional)
Tb (0.0000, 0.0000, 0.0000)  4 Pb 3.24, 4 Cu 3.24
Ce (0.5000, 0.5000, 0.5000)  4 Pb 3.24, 4 Cu 3.24
Cu (0.2500, 0.2500, 0.2500)  4 Tb 3.24, 4 Ce 3.24
Pb (0.7500, 0.7500, 0.7500)  4 Tb 3.24, 4 Ce 3.24

Values from the calculation:
- E (eV per cell) = -19.22
- ρ (g cm⁻³) = 9.03

=====

No. 2
# K2BaIr

K2BaIr after structural relaxation (PBE, Alexandria).

abc: 4.7767 4.7767 5.9770
angles: 90.00 90.00 90.09
Closest atoms and distances in Å follow each position.
Element x y z (fractional)
K (0.0000, 0.5000, 0.0000)  4 K 3.38
K (0.5000, 0.0000, 0.0000)  4 K 3.38
Ba (0.0000, 0.0000, 0.5000)  4 Ir 3.38
Ir (0.5000, 0.5000, 0.5000)  4 Ba 3.38

Values from the calculation:
- polymorph energy (0 for the lowest one) (meV per atom) = 216
- E (eV per cell) = -10.88
- ρ (g cm⁻³) = 4.96

=====

No. 3
# Nd5SmRh4

Nd5SmRh4 after structural relaxation (PBE, Alexandria).

abc: 9.5690 9.5690 7.5857
angles: 113.24 113.24 25.98
Closest atoms and distances in Å follow each position.
Element x y z (fractional)
Nd (0.0000, 0.0000, 0.0000)  4 Rh 2.85
Nd (0.3357, 0.3357, 0.0914)  4 Rh 2.80-3.05
Nd (0.3357, 0.3357, 0.5802)  4 Rh 2.80-3.05
Nd (0.6643, 0.6643, 0.4198)  4 Rh 2.80-3.05
Nd (0.6643, 0.6643, 0.9086)  4 Rh 2.80-3.05
Sm (0.0000, 0.0000, 0.5000)  4 Rh 2.88
Rh (0.1976, 0.1976, 0.6975)  6 Nd 2.89-3.05
Rh (0.5001, 0.5001, 0.2468)  4 Nd 2.80-2.85, 2 Sm 2.88
Rh (0.4999, 0.4999, 0.7532)  4 Nd 2.80-2.85, 2 Sm 2.88
Rh (0.8024, 0.8024, 0.3025)  6 Nd 2.89-3.05

Values from the calculation:
- E (eV per cell) = -63.43
- ρ (g cm⁻³) = 7.66

=====

No. 4
# Ca2Zn4HgGe3

Ca2Zn4HgGe3 after structural relaxation (PBE, Alexandria).

abc: 4.2822 4.2822 11.0593
angles: 90.00 90.00 90.00
Closest atoms and distances in Å follow each position.
Element x y z (fractional)
Ca (0.0000, 0.5000, 0.2437)  6 Ge 3.26-3.55, 8 Zn 3.27-3.44, 2 Hg 3.55
Ca (0.5000, 0.0000, 0.7563)  6 Ge 3.26-3.55, 8 Zn 3.27-3.44, 2 Hg 3.55
Zn (0.0000, 0.0000, 0.0000)  4 Ge 2.60
Zn (0.0000, 0.5000, 0.6449)  3 Ge 2.45-2.67, 2 Hg 2.67
Zn (0.5000, 0.0000, 0.3551)  3 Ge 2.45-2.67, 2 Hg 2.67
Zn (0.5000, 0.5000, 0.0000)  4 Ge 2.60
Hg (0.0000, 0.0000, 0.5000)  4 Zn 2.67
Ge (0.0000, 0.5000, 0.8660)  5 Zn 2.45-2.60
Ge (0.5000, 0.0000, 0.1340)  5 Zn 2.45-2.60
Ge (0.5000, 0.5000, 0.5000)  4 Zn 2.67

Values from the calculation:
- E (eV per cell) = -26.37
- ρ (g cm⁻³) = 6.23

=====

No. 5
# Mn3GaC

Mn3GaC after structural relaxation (PBE, Alexandria).

abc: 4.5989 4.5989 4.5989
angles: 90.00 90.00 90.00
Closest atoms and distances in Å follow each position.
Element x y z (fractional)
Mn (0.0000, 0.0000, 0.5000)  2 Ga 2.30
Mn (0.0000, 0.5000, 0.0000)  2 Ga 2.30
Mn (0.5000, 0.0000, 0.0000)  2 Ga 2.30
Ga (0.0000, 0.0000, 0.0000)  6 Mn 2.30
C (0.5000, 0.5000, 0.5000)  12 Mn 3.25

Values from the calculation:
- polymorph energy (0 for the lowest one) (meV per atom) = 2028
- E (eV per cell) = -30.15
- ρ (g cm⁻³) = 4.21

=====

No. 6
# CsGe2HCl

CsGe2HCl after structural relaxation (PBE, Alexandria).

abc: 4.3595 4.3595 8.6971
angles: 90.00 90.00 90.00
Closest atoms and distances in Å follow each position.
Element x y z (fractional)
Cs (0.0000, 0.0000, 0.0000)  4 Cl 3.08
Ge (0.0000, 0.5000, 0.5000)  2 H 2.18
Ge (0.5000, 0.0000, 0.5000)  2 H 2.18
H (0.0000, 0.0000, 0.5000)  4 Ge 2.18
Cl (0.5000, 0.5000, 0.0000)  4 Cs 3.08

Values from the calculation:
- E (eV per cell) = -15.40
- ρ (g cm⁻³) = 3.16

=====

No. 7
# LiTcBr2

LiTcBr2 after structural relaxation (PBE, Alexandria).

abc: 3.7669 3.7669 7.9729
angles: 90.00 90.00 123.48
Closest atoms and distances in Å follow each position.
Element x y z (fractional)
Li (0.0000, 0.0000, 0.0000)  4 Br 2.57
Tc (0.0000, 0.0000, 0.5000)  4 Br 2.79
Br (0.5000, 0.5000, 0.2313)  2 Li 2.57, 2 Tc 2.79
Br (0.5000, 0.5000, 0.7687)  2 Li 2.57, 2 Tc 2.79

Values from the calculation:
- polymorph energy (0 for the lowest one) (meV per atom) = 121
- E (eV per cell) = -15.56
- ρ (g cm⁻³) = 4.66
- formation energy from raw total energies (meV/atom) = 17

=====

No. 8
# Li5AgGe

Li5AgGe after structural relaxation (PBE, Alexandria).

abc: 4.7370 4.7370 10.7212
angles: 90.07 90.07 76.58
Closest atoms and distances in Å follow each position.
Element x y z (fractional)
Li (0.0757, 0.9243, 0.7500)  1 Ag 2.58, 4 Li 2.70, 2 Ge 2.72
Li (0.1504, 0.4485, 0.6044)  3 Li 2.64-2.83, 2 Ge 2.64-2.78, 1 Ag 2.73
Li (0.1528, 0.4488, 0.8967)  3 Li 2.63-2.83, 2 Ge 2.64-2.77, 1 Ag 2.73
Li (0.4485, 0.1504, 0.1044)  3 Li 2.64-2.83, 2 Ge 2.64-2.78, 1 Ag 2.73
Li (0.4488, 0.1528, 0.3967)  3 Li 2.63-2.83, 2 Ge 2.64-2.77, 1 Ag 2.73
Li (0.5512, 0.8472, 0.6033)  3 Li 2.63-2.83, 2 Ge 2.64-2.77, 1 Ag 2.73
Li (0.5515, 0.8496, 0.8956)  3 Li 2.64-2.83, 2 Ge 2.64-2.78, 1 Ag 2.73
Li (0.8472, 0.5512, 0.1033)  3 Li 2.63-2.83, 2 Ge 2.64-2.77, 1 Ag 2.73
Li (0.8496, 0.5515, 0.3956)  3 Li 2.64-2.83, 2 Ge 2.64-2.78, 1 Ag 2.73
Li (0.9243, 0.0757, 0.2500)  1 Ag 2.58, 4 Li 2.70, 2 Ge 2.72
Ag (0.3643, 0.6357, 0.2500)  5 Li 2.58-2.73
Ag (0.6357, 0.3643, 0.7500)  5 Li 2.58-2.73
Ge (0.0000, 0.0000, 0.0000)  10 Li 2.64-2.78
Ge (0.0000, 0.0000, 0.5000)  10 Li 2.64-2.78

Values from the calculation:
- polymorph energy (0 for the lowest one) (meV per atom) = 0
- E (eV per cell) = -37.12
- ρ (g cm⁻³) = 3.05

=====

No. 9
# TbTlSiS4

TbTlSiS4 after structural relaxation (PBE, Alexandria).

abc: 6.4369 6.5776 8.7791
angles: 90.00 107.16 90.00
Closest atoms and distances in Å follow each position.
Element x y z (fractional)
Tb (0.2295, 0.2500, 0.0520)  6 S 2.78-2.85
Tb (0.7705, 0.7500, 0.9480)  6 S 2.78-2.85
Tl (0.2613, 0.2500, 0.5694)  8 S 3.22-3.53
Tl (0.7387, 0.7500, 0.4306)  8 S 3.22-3.53
Si (0.2240, 0.7500, 0.8280)  4 S 2.11-2.14
Si (0.7760, 0.2500, 0.1720)  4 S 2.11-2.14
S (0.0039, 0.0016, 0.7914)  1 Si 2.14
S (0.0039, 0.4984, 0.7914)  1 Si 2.14
S (0.4188, 0.7500, 0.0707)  1 Si 2.13
S (0.4197, 0.7500, 0.6729)  1 Si 2.11
S (0.5803, 0.2500, 0.3271)  1 Si 2.11
S (0.5812, 0.2500, 0.9293)  1 Si 2.13
S (0.9961, 0.5016, 0.2086)  1 Si 2.14
S (0.9961, 0.9984, 0.2086)  1 Si 2.14

Values from the calculation:
- E (eV per cell) = -74.27
- ρ (g cm⁻³) = 4.86
- formation energy from raw total energies (meV/atom) = -1172

=====

No. 10
# LaTcSe2

LaTcSe2 after structural relaxation (PBE, Alexandria).

abc: 8.3973 8.3973 8.3973
angles: 31.03 31.03 31.03
Closest atoms and distances in Å follow each position.
Element x y z (fractional)
La (0.0000, 0.0000, 0.0000)  6 Se 3.00
Tc (0.5000, 0.5000, 0.5000)  2 Se 2.48
Se (0.3964, 0.3964, 0.3964)  1 Tc 2.48
Se (0.6036, 0.6036, 0.6036)  1 Tc 2.48

Values from the calculation:
- polymorph energy (0 for the lowest one) (meV per atom) = 570
- E (eV per cell) = -23.84
- ρ (g cm⁻³) = 4.70
- formation energy from raw total energies (meV/atom) = -393

=====

Q: Which formula does entry 8 have?
A: Li5AgGe